No. 1
The following is a meta-GGA SCAN calculation of TlAg4Sb at its PBEsol-relaxed geometry, from Alexandria via LeMat-Bulk.

Values from the calculation:
Space-group type: F-43m (216)
Calculated total energy (eV/atom): -39.085
Formation energy without anion corrections (eV/f.u.): 0.6

Unit cell a=5.5325 b=5.5325 c=5.5325 alpha=60.00 beta=60.00 gamma=60.00
Element x y z (fractional)
Tl: 0.0000 0.0000 0.0000
Ag: 0.3751 0.3751 0.3751
Ag: 0.3751 0.3751 0.8748
Ag: 0.3751 0.8748 0.3751
Ag: 0.8748 0.3751 0.3751
Sb: 0.7500 0.7500 0.7500

No. 2
The following is a meta-GGA SCAN calculation of Tl2Ag2Sb at its PBEsol-relaxed geometry, from Alexandria via LeMat-Bulk.

Values from the calculation:
Space-group type: P4/mbm (127)
Calculated total energy (eV/atom): -48.837
Formation energy without anion corrections (eV/f.u.): 0.5

Unit cell a=7.2843 b=7.2843 c=4.4670 alpha=90.00 beta=90.00 gamma=90.00
Element x y z (fractional)
Tl: 0.1658 0.3342 0.0000
Tl: 0.3342 0.8342 0.0000
Tl: 0.6658 0.1658 0.0000
Tl: 0.8342 0.6658 0.0000
Ag: 0.1356 0.6356 0.5000
Ag: 0.3644 0.1356 0.5000
Ag: 0.6356 0.8644 0.5000
Ag: 0.8644 0.3644 0.5000
Sb: 0.0000 0.0000 0.5000
Sb: 0.5000 0.5000 0.5000

No. 3
The following is a meta-GGA SCAN calculation of Ag2SbW at its PBEsol-relaxed geometry, from Alexandria via LeMat-Bulk.

Values from the calculation:
Space-group type: P4/mmm (123)
Calculated total energy (eV/atom): -41.697
Formation energy without anion corrections (eV/f.u.): 2.9

Unit cell a=3.9759 b=3.9759 c=4.4375 alpha=90.00 beta=90.00 gamma=90.00
Element x y z (fractional)
Ag: 0.0000 0.5000 0.0000
Ag: 0.5000 0.0000 0.0000
Sb: 0.0000 0.0000 0.5000
W: 0.5000 0.5000 0.5000

No. 4
The following is a meta-GGA SCAN calculation of Ag4SbW at its PBEsol-relaxed geometry, from Alexandria via LeMat-Bulk.

Values from the calculation:
Space-group type: F-43m (216)
Calculated total energy (eV/atom): -37.924
Formation energy without anion corrections (eV/f.u.): 4.9

Unit cell a=5.3720 b=5.3720 c=5.3720 alpha=60.00 beta=60.00 gamma=60.00
Element x y z (fractional)
Ag: 0.1255 0.1255 0.1255
Ag: 0.1255 0.1255 0.6235
Ag: 0.1255 0.6235 0.1255
Ag: 0.6235 0.1255 0.1255
Sb: 0.7500 0.7500 0.7500
W: 0.5000 0.5000 0.5000

No. 5
The following is a meta-GGA SCAN calculation of Ag2SbW at its PBEsol-relaxed geometry, from Alexandria via LeMat-Bulk.

Values from the calculation:
Space-group type: C2/m (12)
Calculated total energy (eV/atom): -41.762
Formation energy without anion corrections (eV/f.u.): 2.6

Unit cell a=5.7184 b=5.7184 c=2.8659 alpha=101.32 beta=101.32 gamma=123.25
Element x y z (fractional)
Ag: 0.0000 0.5000 0.0000
Ag: 0.5000 0.0000 0.0000
Sb: 0.0000 0.0000 0.5000
W: 0.5000 0.5000 0.5000

No. 6
The following is a meta-GGA SCAN calculation of AgSb2W at its PBEsol-relaxed geometry, from Alexandria via LeMat-Bulk.

Values from the calculation:
Space-group type: I-4m2 (119)
E above lowest polymorph (meV/atom): 310
Calculated total energy (eV/atom): -43.039
Formation energy without anion corrections (eV/f.u.): 3.4

Unit cell a=5.5839 b=5.5839 c=5.5839 alpha=137.34 beta=137.34 gamma=61.92
Element x y z (fractional)
Ag: 0.0000 0.0000 0.0000
Sb: 0.5000 0.5000 0.0000
Sb: 0.7500 0.2500 0.5000
W: 0.2500 0.7500 0.5000

No. 7
The following is a meta-GGA SCAN calculation of Ag2SbW at its PBEsol-relaxed geometry, from Alexandria via LeMat-Bulk.

Values from the calculation:
Space-group type: Pmmm (47)
Calculated total energy (eV/atom): -41.641
Formation energy without anion corrections (eV/f.u.): 3.1

Unit cell a=2.8871 b=4.4228 c=5.6279 alpha=90.00 beta=90.00 gamma=90.00
Element x y z (fractional)
Ag: 0.0000 0.0000 0.2344
Ag: 0.0000 0.0000 0.7656
Sb: 0.5000 0.5000 0.5000
W: 0.5000 0.5000 0.0000

No. 8
The following is a meta-GGA SCAN calculation of AgSb2W at its PBEsol-relaxed geometry, from Alexandria via LeMat-Bulk.

Values from the calculation:
Space-group type: Pmmm (47)
E above lowest polymorph (meV/atom): 399
Calculated total energy (eV/atom): -42.951
Formation energy without anion corrections (eV/f.u.): 3.8

Unit cell a=3.2621 b=4.5601 c=5.3888 alpha=90.00 beta=90.00 gamma=90.00
Element x y z (fractional)
Ag: 0.0000 0.0000 0.0000
Sb: 0.0000 0.5000 0.5000
Sb: 0.5000 0.5000 0.0000
W: 0.5000 0.0000 0.5000

No. 9
The following is a meta-GGA SCAN calculation of Ag2SbW at its PBEsol-relaxed geometry, from Alexandria via LeMat-Bulk.

Values from the calculation:
Space-group type: I-4m2 (119)
Calculated total energy (eV/atom): -41.647
Formation energy without anion corrections (eV/f.u.): 3.1

Unit cell a=5.0253 b=5.0253 c=5.0253 alpha=131.26 beta=131.26 gamma=71.41
Element x y z (fractional)
Ag: 0.0000 0.0000 0.0000
Ag: 0.7500 0.2500 0.5000
Sb: 0.5000 0.5000 0.0000
W: 0.2500 0.7500 0.5000

No. 10
The following is a meta-GGA SCAN calculation of AgSb2W at its PBEsol-relaxed geometry, from Alexandria via LeMat-Bulk.

Values from the calculation:
Space-group type: Amm2 (38)
E above lowest polymorph (meV/atom): 0
Calculated total energy (eV/atom): -43.349
Formation energy without anion corrections (eV/f.u.): 2.2

Unit cell a=4.4998 b=5.4179 c=5.4179 alpha=37.03 beta=90.00 gamma=90.00
Element x y z (fractional)
Ag: 0.0000 0.0000 0.0000
Sb: 0.0000 0.7355 0.7355
Sb: 0.5000 0.4509 0.4509
W: 0.5000 0.1679 0.1679

No. 11
The following is a meta-GGA SCAN calculation of AgSb2W at its PBEsol-relaxed geometry, from Alexandria via LeMat-Bulk.

Values from the calculation:
Space-group type: C2/m (12)
E above lowest polymorph (meV/atom): 90
Calculated total energy (eV/atom): -43.259
Formation energy without anion corrections (eV/f.u.): 2.5

Unit cell a=4.7753 b=4.7753 c=5.5603 alpha=99.11 beta=99.11 gamma=40.02
Element x y z (fractional)
Ag: 0.0000 0.0000 0.0000
Sb: 0.2318 0.2318 0.7247
Sb: 0.7682 0.7682 0.2753
W: 0.5000 0.5000 0.5000

No. 12
The following is a meta-GGA SCAN calculation of Y2AgSb at its PBEsol-relaxed geometry, from Alexandria via LeMat-Bulk.

Values from the calculation:
Space-group type: R-3m (166)
Calculated total energy (eV/atom): -31.737
Formation energy without anion corrections (eV/f.u.): -2.6

Unit cell a=7.3867 b=7.3867 c=7.3867 alpha=33.49 beta=33.49 gamma=33.49
Element x y z (fractional)
Y: 0.2489 0.2489 0.2489
Y: 0.7511 0.7511 0.7511
Ag: 0.5000 0.5000 0.5000
Sb: 0.0000 0.0000 0.0000

The records above yield calculated volume values of 19.96; 23.70; 17.54; 18.27; 17.84; 19.75; 17.97; 20.04; 17.55; 19.89; 20.09; 27.33 Å³ per atom, respectively.